Record 1
First-principles (SCAN) data for a PBEsol-optimized structure of SbTe2SeI, as listed in Alexandria via LeMat-Bulk.

## Properties
Crystal system: tetragonal
Magnetization (μB per cell): 1.2
Calculated total energy (hartree per atom): -1.195
Space group: P4/mmm

The structure in POSCAR format:
```
SbTe2SeI
1.0
5.658 0.000 0.000
0.000 5.658 0.000
0.000 0.000 5.837
I Sb Te Se
1 1 2 1
direct
0.000 0.000 0.000
0.000 0.000 0.500
0.000 0.500 0.000
0.500 0.000 0.000
0.500 0.500 0.500
```

=====

Record 2
First-principles (SCAN) data for a PBEsol-optimized structure of ZnSb2SeI, as listed in Alexandria via LeMat-Bulk.

## Properties
Crystal system: tetragonal
Magnetization (μB per cell): 1.2
Calculated total energy (hartree per atom): -1.035
Space group: P4/mmm

The structure in POSCAR format:
```
ZnSb2SeI
1.0
5.405 0.000 0.000
0.000 5.405 0.000
0.000 0.000 5.543
I Sb Zn Se
1 2 1 1
direct
0.000 0.000 0.500
0.000 0.500 0.000
0.500 0.000 0.000
0.500 0.500 0.500
0.000 0.000 0.000
```

=====

Record 3
First-principles (SCAN) data for a PBEsol-optimized structure of ZrSb2SeI, as listed in Alexandria via LeMat-Bulk.

## Properties
Crystal system: tetragonal
Magnetization (μB per cell): 0.9
Calculated total energy (hartree per atom): -1.163
Space group: P4/mmm

The structure in POSCAR format:
```
ZrSb2SeI
1.0
5.293 0.000 0.000
0.000 5.293 0.000
0.000 0.000 5.265
I Sb Se Zr
1 2 1 1
direct
0.000 0.000 0.500
0.000 0.500 0.000
0.500 0.000 0.000
0.000 0.000 0.000
0.500 0.500 0.500
```

=====

Record 4
First-principles (SCAN) data for a PBEsol-optimized structure of ZrSbSeI2, as listed in Alexandria via LeMat-Bulk.

## Properties
Crystal system: tetragonal
Magnetization (μB per cell): 1.3
Calculated total energy (hartree per atom): -1.160
Space group: P4/mmm

The structure in POSCAR format:
```
ZrSbSeI2
1.0
5.436 0.000 0.000
0.000 5.398 0.000
0.000 0.000 5.398
I Sb Se Zr
2 1 1 1
direct
0.000 0.000 0.500
0.000 0.500 0.000
0.500 0.000 0.000
0.000 0.000 0.000
0.500 0.500 0.500
```

=====

Record 5
First-principles (SCAN) data for a PBEsol-optimized structure of TiSiSbI2, as listed in Alexandria via LeMat-Bulk.

## Properties
Crystal system: tetragonal
Magnetization (μB per cell): 1.3
Calculated total energy (hartree per atom): -0.985
Space group: P4/mmm

The structure in POSCAR format:
```
TiSiSbI2
1.0
5.216 0.000 0.000
0.000 5.216 0.000
0.000 0.000 5.523
I Sb Si Ti
2 1 1 1
direct
0.000 0.500 0.000
0.500 0.000 0.000
0.000 0.000 0.500
0.500 0.500 0.500
0.000 0.000 0.000
```

=====

Record 6
First-principles (SCAN) data for a PBEsol-optimized structure of YSiSbI2, as listed in Alexandria via LeMat-Bulk.

## Properties
Crystal system: tetragonal
Magnetization (μB per cell): 0.0
Calculated total energy (hartree per atom): -1.085
Space group: P4/mmm

The structure in POSCAR format:
```
YSiSbI2
1.0
-1.459 4.511 3.145
2.894 -2.136 4.407
4.972 2.904 -1.858
I Sb Si Y
2 1 1 1
direct
0.000 0.500 0.000
0.500 0.000 0.000
0.000 0.000 0.500
0.500 0.500 0.500
0.000 0.000 0.000
```

=====

- Among the records above, which one has the lowest calculated total energy?
  SbTe2SeI

=====

- Among the records above, which one has the lowest calculated total energy?
  SbTe2SeI

=====

- Look up the calculated total energy of the fifth one.
  -0.985 hartree per atom